Here is a relaxed Be2TeRh crystal from Alexandria via LeMat-Bulk. Energies are from PBE.

Cell: 2.9357 2.9607 7.3279 Å, 90.01 90.00 90.00°
Sites, in units of the cell vectors:
Be 0.0000 0.7499 0.0975
Be 0.0000 0.7501 0.4025
Te 0.5000 0.7500 0.7500
Rh 0.5000 0.2500 0.2500

Formation energy (no corrections): -27.9 kJ/mol of formula units
Mass density: 6.48 g/cm³